# Sb2AuI2 | Alexandria via LeMat-Bulk | PBE | optimized geometry
data_Sb2AuI2
_symmetry_space_group_name_H-M 'P 4/m b m'
_symmetry_Int_Tables_number 127
_symmetry_space_group_name_Hall '-P 4 2ab'
_cell_length_a 7.400
_cell_length_b 7.400
_cell_length_c 5.975
_cell_angle_alpha 90.00
_cell_angle_beta 90.00
_cell_angle_gamma 90.00
loop_
_atom_site_label
_atom_site_type_symbol
_atom_site_fract_x
_atom_site_fract_y
_atom_site_fract_z
Sb1 Sb 0.147 0.353 0.000
Au1 Au 0.000 0.000 0.000
I1 I 0.185 0.315 0.500
# - Formation energy from raw total energies: -0.175 eV/f.u.
# - Density of states at the Fermi level: 3.5 states/eV per cell
# - Energy above the lowest structure with this stoichiometry: 38.9 kJ/mol of formula units
# - Volume: 32.72 A^3/atom